[1]
First-principles (PBE-GGA) data for a relaxed structure of KAg2Sb, as listed in the Alexandria database.

POSCAR file:
```
KAg2Sb
1.0
3.791 0.010 0.000
-0.010 3.791 0.000
0.000 0.000 7.629
Ag K Sb
2 1 1
direct
0.000 0.000 0.561
0.000 0.000 0.939
0.500 0.500 0.250
0.500 0.500 0.750
```

* V: 110 Å³/f.u.
* final energy: -0.1899 Ry/atom
* size of the total moment: 0.00 μB per atom
* raw formation energy: 146 meV/atom

---

[2]
First-principles (PBE-GGA) data for a relaxed structure of KAg2Sb, as listed in the Alexandria database.

POSCAR file:
```
KAg2Sb
1.0
-1.290 2.243 -1.710
-2.253 -2.974 -2.202
-5.858 0.592 5.195
K Ag Sb
1 2 1
direct
0.000 0.000 0.492
0.000 0.000 0.012
0.500 0.500 0.182
0.500 0.500 0.814
```

* V: 106 Å³/f.u.
* final energy: -0.1989 Ry/atom
* size of the total moment: 0.00 μB per atom
* raw formation energy: 25 meV/atom

---

[3]
First-principles (PBE-GGA) data for a relaxed structure of KAg2Sb, as listed in the Alexandria database.

POSCAR file:
```
KAg2Sb
1.0
4.605 0.000 0.000
0.000 3.165 0.055
0.000 1.425 7.428
K Ag Sb
1 2 1
direct
0.000 0.560 0.503
0.000 0.797 0.031
0.500 0.235 0.158
0.500 0.908 0.808
```

* V: 108 Å³/f.u.
* final energy: -0.2010 Ry/atom
* size of the total moment: 0.00 μB per atom
* raw formation energy: -4 meV/atom

---

[4]
First-principles (PBE-GGA) data for a relaxed structure of KAg2Sb, as listed in the Alexandria database.

POSCAR file:
```
KAg2Sb
1.0
-2.342 0.333 -4.285
-1.780 -4.027 -2.137
-6.606 -0.465 0.785
Sb Ag K
1 2 1
direct
0.307 0.307 0.081
0.007 0.007 0.981
0.686 0.686 0.944
0.501 0.501 0.495
```

* V: 125 Å³/f.u.
* final energy: -0.2131 Ry/atom
* size of the total moment: 0.00 μB per atom
* raw formation energy: -169 meV/atom

---

[5]
First-principles (PBE-GGA) data for a relaxed structure of K3AgSb, as listed in the Alexandria database.

POSCAR file:
```
K3AgSb
1.0
-5.597 -2.544 -2.604
3.522 -4.995 -2.690
-0.923 -3.628 5.529
Sb K Ag
1 3 1
direct
0.000 0.000 0.000
0.000 0.000 0.500
0.000 0.500 0.000
0.500 0.000 0.000
0.500 0.500 0.500
```

* V: 298 Å³/f.u.
* final energy: -0.1465 Ry/atom
* distance to the lowest polymorph of the same formula: 5.40 kcal/mol of atoms
* size of the total moment: 0.20 μB per atom
* raw formation energy: 60 meV/atom

---

[6]
First-principles (PBE-GGA) data for a relaxed structure of K2AgSb2, as listed in the Alexandria database.

POSCAR file:
```
K2AgSb2
1.0
-1.811 -1.410 4.487
-2.768 -3.281 -2.149
6.583 -3.136 1.672
K Sb Ag
2 2 1
direct
0.000 0.690 0.379
0.000 0.929 0.859
0.500 0.308 0.615
0.500 0.508 0.017
0.500 0.107 0.214
```

* V: 171 Å³/f.u.
* final energy: -0.2124 Ry/atom
* distance to the lowest polymorph of the same formula: 1.93 kcal/mol of atoms
* size of the total moment: 0.00 μB per atom
* raw formation energy: -232 meV/atom